Density functional theory data (PBE) for crystalline Mg3BiCl at its relaxed geometry.

Computed properties:
crystal system: cubic
formation energy from raw total energies: 3.56 kJ per mole of atoms
N(E_F): 1.594 states/eV/f.u.
electronic total energy: -10.33 eV per formula unit
size of the total moment: 0.00 μB per atom
offset from the most stable computed form: 109 meV/atom

Structure (CIF):
```
data_Mg3BiCl
_chemical_formula_sum 'Mg3 Bi1 Cl1'
_cell_length_a 5.819
_cell_length_b 5.819
_cell_length_c 5.819
_cell_angle_alpha 90.00
_cell_angle_beta 90.00
_cell_angle_gamma 90.00
_symmetry_space_group_name_H-M 'P m -3 m'
_symmetry_Int_Tables_number 221
_symmetry_space_group_name_Hall '-P 4 2 3'
loop_
_atom_site_label
_atom_site_type_symbol
_atom_site_fract_x
_atom_site_fract_y
_atom_site_fract_z
Mg1 Mg 0.000 0.000 0.500
Bi1 Bi 0.000 0.000 0.000
Cl1 Cl 0.500 0.500 0.500
```